The following is a DFT calculation (PBE) of an optimized crystal structure of SiH5Br2.

a = 7.734 Å, b = 7.734 Å, c = 3.698 Å
α = 95.07°, β = 95.07°, γ = 142.30°
Positions (direct):
Si: 0.000 0.000 0.000
H: 0.102 0.898 0.000
H: 0.174 0.239 0.763
H: 0.175 0.240 0.390
H: 0.760 0.825 0.610
H: 0.761 0.826 0.237
Br: 0.278 0.722 0.500
Br: 0.736 0.264 0.500

Summary:
- VASP energy (eV/atom) = -2.955